First-principles (GGA-PBE) data for a relaxed Y2Al14Fe3 crystal, as listed in the Alexandria database.

Calculated values
- V (Å³ per cell) = 606
- SG = P6_3/mmc, No. 194
- raw total energy (eV/atom) = -5.16
- DOS(E_F) (states/eV/f.u.) = 10.4
- formation energy (eV/atom) = -0.389

Unit cell a=8.9213 b=8.9213 c=8.7909 alpha=90.00 beta=90.00 gamma=120.00
Fractional coordinates of all 38 atoms:
Y  0.0000  0.0000  0.2500
Y  0.0000  0.0000  0.7500
Y  0.3333  0.6667  0.2500
Y  0.6667  0.3333  0.7500
Al  0.0328  0.3730  0.7500
Al  0.0328  0.6597  0.7500
Al  0.1740  0.3481  0.0218
Al  0.1740  0.3481  0.4782
Al  0.1740  0.8260  0.0218
Al  0.1740  0.8260  0.4782
Al  0.3333  0.6667  0.5947
Al  0.3333  0.6667  0.9053
Al  0.3403  0.3730  0.7500
Al  0.3403  0.9672  0.7500
Al  0.3481  0.1740  0.5218
Al  0.3481  0.1740  0.9782
Al  0.3730  0.0328  0.2500
Al  0.3730  0.3403  0.2500
Al  0.6270  0.6597  0.7500
Al  0.6270  0.9672  0.7500
Al  0.6519  0.8260  0.0218
Al  0.6519  0.8260  0.4782
Al  0.6597  0.0328  0.2500
Al  0.6597  0.6270  0.2500
Al  0.6667  0.3333  0.0947
Al  0.6667  0.3333  0.4053
Al  0.8260  0.1740  0.5218
Al  0.8260  0.1740  0.9782
Al  0.8260  0.6519  0.5218
Al  0.8260  0.6519  0.9782
Al  0.9672  0.3403  0.2500
Al  0.9672  0.6270  0.2500
Fe  0.0000  0.5000  0.0000
Fe  0.0000  0.5000  0.5000
Fe  0.5000  0.0000  0.0000
Fe  0.5000  0.0000  0.5000
Fe  0.5000  0.5000  0.0000
Fe  0.5000  0.5000  0.5000

First-principles (GGA-PBE) data for a relaxed GaNiH2 crystal, as listed in the Alexandria database.

Calculated values
- V (Å³ per cell) = 33
- SG = Fm-3m, No. 225
- raw total energy (eV/atom) = -3.27
- DOS(E_F) (states/eV/f.u.) = 1.7
- relative energy among the computed polymorphs (meV per atom) = 422

Unit cell a=3.6174 b=3.6174 c=3.6174 alpha=60.00 beta=60.00 gamma=60.00
Fractional coordinates of all 4 atoms:
Ga  0.0000  0.0000  0.0000
Ni  0.5000  0.5000  0.5000
H  0.2500  0.2500  0.2500
H  0.7500  0.7500  0.7500

First-principles (GGA-PBE) data for a relaxed Ba2NaGe2 crystal, as listed in the Alexandria database.

Calculated values
- V (Å³ per cell) = 352
- SG = P4/mbm, No. 127
- raw total energy (eV/atom) = -3.28
- DOS(E_F) (states/eV/f.u.) = 3.4
- formation energy (eV/atom) = -0.402
- relative energy among the computed polymorphs (meV per atom) = 35

Unit cell a=8.5805 b=8.5805 c=4.7845 alpha=90.00 beta=90.00 gamma=90.00
Fractional coordinates of all 10 atoms:
Ba  0.1823  0.3177  0.0000
Ba  0.3177  0.8177  0.0000
Ba  0.6823  0.1823  0.0000
Ba  0.8177  0.6823  0.0000
Na  0.0000  0.0000  0.5000
Na  0.5000  0.5000  0.5000
Ge  0.1019  0.6019  0.5000
Ge  0.3981  0.1019  0.5000
Ge  0.6019  0.8981  0.5000
Ge  0.8981  0.3981  0.5000

First-principles (GGA-PBE) data for a relaxed CaReMo4 crystal, as listed in the Alexandria database.

Calculated values
- V (Å³ per cell) = 106
- SG = F-43m, No. 216
- raw total energy (eV/atom) = -9.17
- DOS(E_F) (states/eV/f.u.) = 4.2
- formation energy (eV/atom) = 0.457

Unit cell a=5.3059 b=5.3059 c=5.3059 alpha=60.00 beta=60.00 gamma=60.00
Fractional coordinates of all 6 atoms:
Ca  0.0000  0.0000  0.0000
Re  0.2500  0.2500  0.2500
Mo  0.1259  0.6247  0.6247
Mo  0.6247  0.1259  0.6247
Mo  0.6247  0.6247  0.1259
Mo  0.6247  0.6247  0.6247

First-principles (GGA-PBE) data for a relaxed Ti3VIn2 crystal, as listed in the Alexandria database.

Calculated values
- V (Å³ per cell) = 216
- SG = Cmmm, No. 65
- raw total energy (eV/atom) = -6.44
- DOS(E_F) (states/eV/f.u.) = 6.8
- formation energy (eV/atom) = -0.058

Unit cell a=6.6733 b=6.6733 c=8.3750 alpha=90.00 beta=90.00 gamma=144.64
Fractional coordinates of all 12 atoms:
Ti  0.0000  0.0000  0.2367
Ti  0.0000  0.0000  0.7633
Ti  0.3297  0.6703  0.2259
Ti  0.3297  0.6703  0.7741
Ti  0.6703  0.3297  0.2259
Ti  0.6703  0.3297  0.7741
V  0.1716  0.8284  0.0000
V  0.8284  0.1716  0.0000
In  0.1676  0.8324  0.5000
In  0.5000  0.5000  0.0000
In  0.5000  0.5000  0.5000
In  0.8324  0.1676  0.5000

First-principles (GGA-PBE) data for a relaxed AlNi2Sb crystal, as listed in the Alexandria database.

Calculated values
- V (Å³ per cell) = 59
- SG = P2/m, No. 10
- raw total energy (eV/atom) = -5.07
- DOS(E_F) (states/eV/f.u.) = 1.5
- relative energy among the computed polymorphs (meV per atom) = 30

Unit cell a=3.0915 b=3.0956 c=6.1247 alpha=90.00 beta=90.76 gamma=90.00
Fractional coordinates of all 4 atoms:
Al  0.0000  0.0000  0.0000
Ni  0.4966  0.5000  0.7880
Ni  0.5034  0.5000  0.2120
Sb  0.0000  0.0000  0.5000

First-principles (GGA-PBE) data for a relaxed In3GaHg4 crystal, as listed in the Alexandria database.

Calculated values
- V (Å³ per cell) = 208
- SG = Imm2, No. 44
- raw total energy (eV/atom) = -1.51
- DOS(E_F) (states/eV/f.u.) = 3.4
- formation energy (eV/atom) = 0.043
- relative energy among the computed polymorphs (meV per atom) = 14

Unit cell a=6.8908 b=6.8908 c=6.8908 alpha=126.76 beta=80.51 gamma=124.50
Fractional coordinates of all 8 atoms:
In  0.0000  0.0000  0.0000
In  0.0456  0.7625  0.2831
In  0.4793  0.7625  0.7169
Ga  0.9524  0.4524  0.5000
Hg  0.0248  0.2676  0.7572
Hg  0.5104  0.2676  0.2428
Hg  0.5322  0.2880  0.7558
Hg  0.5322  0.7764  0.2442

First-principles (GGA-PBE) data for a relaxed AgOsW2 crystal, as listed in the Alexandria database.

Calculated values
- V (Å³ per cell) = 63
- SG = Pmm2, No. 25
- raw total energy (eV/atom) = -9.56
- DOS(E_F) (states/eV/f.u.) = 3.6
- formation energy (eV/atom) = 0.440
- relative energy among the computed polymorphs (meV per atom) = 78

Unit cell a=2.8366 b=4.5320 c=4.8969 alpha=90.00 beta=90.00 gamma=90.00
Fractional coordinates of all 4 atoms:
Ag  0.0000  0.0000  0.0000
Os  0.0000  0.5000  0.6625
W  0.5000  0.0000  0.5013
W  0.5000  0.5000  0.1682

- Which value of V does entry 3 give?
  352 Å³ per cell

- Among the records above, which one has the lowest raw total energy?
  AgOsW2

- Among the records above, which one has the lowest raw total energy?
  AgOsW2